[1]
FePd2Pt: optimized geometry, PBE.

Symmetry: P2_1/m, No. 11
Size of the total moment (μB per formula unit): 4.3
E (eV per atom): -6.360

abc: 3.8783 5.5620 5.5117
angles: 92.90 90.00 90.00
Fractional coordinates of all 8 atoms:
Fe (0.7500, 0.6403, 0.3559)
Fe (0.2500, 0.3597, 0.6441)
Pt (0.2500, 0.3895, 0.1487)
Pt (0.7500, 0.6105, 0.8513)
Pd (0.2500, 0.8586, 0.6139)
Pd (0.2500, 0.8759, 0.1246)
Pd (0.7500, 0.1414, 0.3861)
Pd (0.7500, 0.1241, 0.8754)


[2]
Fe2PdPt: optimized geometry, PBE.

Symmetry: I-42d, No. 122
Size of the total moment (μB per formula unit): 6.9
E (eV per atom): -6.745

abc: 6.8429 6.8429 5.5188
angles: 51.69 51.69 90.00
Fractional coordinates of all 8 atoms:
Fe (0.1218, 0.6250, 0.2500)
Fe (0.8750, 0.8782, 0.7500)
Fe (0.3750, 0.3718, 0.7500)
Fe (0.6282, 0.1250, 0.2500)
Pd (0.2500, 0.7500, 0.5000)
Pd (0.5000, 0.5000, 0.0000)
Pt (0.7500, 0.2500, 0.5000)
Pt (0.0000, 0.0000, 0.0000)


[3]
FePd6Pt3: optimized geometry, PBE.

Symmetry: C2/m, No. 12
Size of the total moment (μB per formula unit): 4.6
E (eV per atom): -5.658

abc: 6.9110 5.3479 5.3479
angles: 58.34 75.31 75.31
Fractional coordinates of all 10 atoms:
Pd (0.0824, 0.6437, 0.6437)
Pd (0.6887, 0.4101, 0.9081)
Pd (0.3113, 0.0919, 0.5899)
Pd (0.6887, 0.9081, 0.4101)
Pd (0.9176, 0.3563, 0.3563)
Pd (0.3113, 0.5899, 0.0919)
Fe (0.5000, 0.5000, 0.5000)
Pt (0.6839, 0.9032, 0.9032)
Pt (0.3161, 0.0968, 0.0968)
Pt (0.0000, 0.0000, 0.0000)


[4]
Fe2Pd3Pt4: optimized geometry, PBE.

Symmetry: C2/m, No. 12
Size of the total moment (μB per formula unit): 8.3
E (eV per atom): -6.459

abc: 3.9223 4.7849 8.2628
angles: 73.33 90.01 65.80
Fractional coordinates of all 9 atoms:
Pt (0.0029, 0.9942, 0.6709)
Pt (0.3330, 0.3339, 0.1101)
Pt (0.9971, 0.0058, 0.3291)
Pt (0.6670, 0.6661, 0.8899)
Pd (0.6687, 0.6626, 0.5538)
Pd (0.3313, 0.3374, 0.4462)
Pd (0.0000, 0.0000, 0.0000)
Fe (0.6675, 0.6647, 0.2209)
Fe (0.3325, 0.3353, 0.7791)


[5]
Fe4Pd5Pt4: optimized geometry, PBE.

Symmetry: I4/m, No. 87
Size of the total moment (μB per formula unit): 16.0
E (eV per atom): -6.605

abc: 3.9687 7.2088 7.2088
angles: 85.65 74.02 74.02
Fractional coordinates of all 13 atoms:
Pt (0.0873, 0.5342, 0.2912)
Pt (0.6215, 0.2912, 0.4658)
Pt (0.3785, 0.7088, 0.5342)
Pt (0.9127, 0.4658, 0.7088)
Pd (0.0000, 0.0000, 0.0000)
Pd (0.5515, 0.7578, 0.1391)
Pd (0.6907, 0.8609, 0.7578)
Pd (0.3093, 0.1391, 0.2422)
Pd (0.4485, 0.2422, 0.8609)
Fe (0.1446, 0.0884, 0.6223)
Fe (0.7669, 0.3777, 0.0884)
Fe (0.8554, 0.9116, 0.3777)
Fe (0.2331, 0.6223, 0.9116)


[6]
Fe5Pd6Pt: optimized geometry, PBE.

Symmetry: Immm, No. 71
Size of the total moment (μB per formula unit): 17.5
E (eV per atom): -6.714

abc: 3.8563 7.1884 7.1884
angles: 106.80 105.56 105.56
Fractional coordinates of all 12 atoms:
Pd (0.2562, 0.0883, 0.4241)
Pd (0.7438, 0.5759, 0.9117)
Pd (0.2369, 0.7369, 0.7369)
Pd (0.7631, 0.2631, 0.2631)
Pd (0.2562, 0.4241, 0.0883)
Pd (0.7438, 0.9117, 0.5759)
Fe (0.5000, 0.8338, 0.1662)
Fe (0.0000, 0.3309, 0.6691)
Fe (0.0000, 0.6691, 0.3309)
Fe (0.5000, 0.5000, 0.5000)
Fe (0.5000, 0.1662, 0.8338)
Pt (0.0000, 0.0000, 0.0000)


[7]
Fe3Pd3Pt2: optimized geometry, PBE.

Symmetry: Pmmm, No. 47
Size of the total moment (μB per formula unit): 11.4
E (eV per atom): -6.786

abc: 3.8750 3.8989 7.6410
angles: 90.00 90.00 90.00
Fractional coordinates of all 8 atoms:
Pt (0.0000, 0.0000, 0.7392)
Pt (0.0000, 0.0000, 0.2608)
Fe (0.5000, 0.0000, 0.5000)
Fe (0.0000, 0.5000, 0.5000)
Fe (0.5000, 0.0000, 0.0000)
Pd (0.0000, 0.5000, 0.0000)
Pd (0.5000, 0.5000, 0.7417)
Pd (0.5000, 0.5000, 0.2583)


[8]
Fe3Pd12Pt: optimized geometry, PBE.

Symmetry: P4/mmm, No. 123
Size of the total moment (μB per formula unit): 13.4
E (eV per atom): -5.944

abc: 3.9139 3.9139 15.5715
angles: 90.00 90.00 90.00
Fractional coordinates of all 16 atoms:
Pd (0.5000, 0.5000, 0.7467)
Pd (0.5000, 0.5000, 0.2533)
Pd (0.5000, 0.0000, 0.8690)
Pd (0.5000, 0.5000, 0.0000)
Pd (0.5000, 0.0000, 0.3767)
Pd (0.0000, 0.5000, 0.3767)
Pd (0.5000, 0.0000, 0.1310)
Pd (0.5000, 0.0000, 0.6233)
Pd (0.5000, 0.5000, 0.5000)
Pd (0.0000, 0.5000, 0.1310)
Pd (0.0000, 0.5000, 0.8690)
Pd (0.0000, 0.5000, 0.6233)
Fe (0.0000, 0.0000, 0.5000)
Fe (0.0000, 0.0000, 0.7501)
Fe (0.0000, 0.0000, 0.2499)
Pt (0.0000, 0.0000, 0.0000)